First-principles (PBE) data for an optimized crystal structure of Zr4MnOs2, as listed in Alexandria.

The structure belongs to space group R-3m (No. 166, hexagonal axes); the cell edges are 4.5839, 4.5839 and 22.3193 Å and the angles 90.00°, 90.00° and 120.00°. The distinct sites, in fractional coordinates, are Zr at (0.0000, 0.0000, 0.1231), Zr at (0.0000, 0.0000, 0.3741), Mn at (0.0000, 0.0000, 0.5000) and Os at (0.0000, 0.0000, 0.2491).

The density comes out at 9.82 g/cm3. For the energy of formation from the pure elements, the calculation gives -266 meV/atom. The calculation puts the total magnetic moment at 1.2 μB/cell.

First-principles (PBE) data for an optimized crystal structure of SrZrAlH2, as listed in Alexandria.

The structure belongs to space group P4/mmm (No. 123); the cell edges are 4.346, 4.346 and 5.485 Å and the angles 90.00°, 90.00° and 90.00°. The distinct sites, in fractional coordinates, are Sr at (0.000, 0.000, 0.000), Zr at (0.500, 0.500, 0.000), Al at (0.500, 0.500, 0.500) and H at (0.000, 0.500, 0.500).

The final energy is -3.207 eV per atom. The density comes out at 3.33 g/cm3. The calculation puts the total magnetic moment at 0.0 μB/cell.

total magnetic moment of number 1 (Zr4MnOs2)? 1.2 μB/cell